Computed, not measured: an optimized crystal structure of InI at the PBE-GGA level of DFT.

Calculated values
formation energy (no corrections) = -0.413 eV/atom
symmetry = P6_3/mmc, No. 194
calculated total energy = -10.23 eV/cell

Cell: 5.958 5.958 6.982 Å, 90.00 90.00 120.00°
Sites, in units of the cell vectors:
In 0.333 0.667 0.250
In 0.667 0.333 0.750
I 0.333 0.667 0.750
I 0.667 0.333 0.250